[1]
The following is a GGA+U calculation of a relaxed structure of CrCF3, from Alexandria.

Results
Fermi-level density of states = 4.75 states/eV/cell
E above lowest polymorph = 1.83 eV per formula unit

Lattice parameters (Å, degrees): 3.872 3.872 3.872 90.00 90.00 90.00
Space group Pm-3m (No. 221)
Asymmetric unit:
Cr 0.000 0.000 0.000 (multiplicity 1)
C 0.500 0.500 0.500 (multiplicity 1)
F 0.000 0.500 0.500 (multiplicity 3)


[2]
The following is a GGA+U calculation of a relaxed structure of Cr2CF, from Alexandria.

Results
Fermi-level density of states = 2.96 states/eV/cell
E above lowest polymorph = 1.29 eV per formula unit

Lattice parameters (Å, degrees): 5.585 5.585 5.585 90.00 90.00 90.00
Space group Fm-3m (No. 225)
Asymmetric unit:
Cr 0.250 0.250 0.250 (multiplicity 8)
C 0.000 0.000 0.000 (multiplicity 4)
F 0.000 0.000 0.500 (multiplicity 4)


[3]
The following is a GGA+U calculation of a relaxed structure of CrCF3, from Alexandria.

Results
Fermi-level density of states = 7.43 states/eV/cell
E above lowest polymorph = 0.00 eV per formula unit

Lattice parameters (Å, degrees): 3.978 3.978 3.978 90.00 90.00 90.00
Space group Pm-3m (No. 221)
Asymmetric unit:
Cr 0.000 0.000 0.000 (multiplicity 1)
C 0.500 0.500 0.500 (multiplicity 1)
F 0.000 0.000 0.500 (multiplicity 3)


[4]
The following is a GGA+U calculation of a relaxed structure of Cr2CF, from Alexandria.

Results
Fermi-level density of states = 0.10 states/eV/cell
E above lowest polymorph = 0.00 eV per formula unit

Lattice parameters (Å, degrees): 5.483 5.483 7.171 90.00 90.00 90.00
Space group I-42d (No. 122)
Asymmetric unit:
Cr 0.209 0.250 0.125 (multiplicity 8)
C 0.000 0.000 0.000 (multiplicity 4)
F 0.000 0.000 0.500 (multiplicity 4)


[5]
The following is a GGA+U calculation of a relaxed structure of CrCN2F, from Alexandria.

Results
Fermi-level density of states = 3.74 states/eV/cell
E above lowest polymorph = 2.44 eV per formula unit

Lattice parameters (Å, degrees): 3.835 3.835 3.870 90.00 90.00 90.00
Space group P4/mmm (No. 123)
Asymmetric unit:
Cr 0.000 0.000 0.000 (multiplicity 1)
C 0.500 0.500 0.500 (multiplicity 1)
N 0.000 0.500 0.000 (multiplicity 2)
F 0.000 0.000 0.500 (multiplicity 1)


[6]
The following is a GGA+U calculation of a relaxed structure of CrCN2F, from Alexandria.

Results
Fermi-level density of states = 2.41 states/eV/cell
E above lowest polymorph = 0.00 eV per formula unit

Lattice parameters (Å, degrees): 3.065 3.065 5.314 90.00 90.00 90.00
Space group P4/mmm (No. 123)
Asymmetric unit:
Cr 0.000 0.000 0.000 (multiplicity 1)
C 0.500 0.500 0.500 (multiplicity 1)
N 0.000 0.500 0.500 (multiplicity 2)
F 0.500 0.500 0.000 (multiplicity 1)


Question: Which formula does entry 2 have?
Answer: Cr2CF


Question: E above lowest polymorph of number 6 (CrCN2F)?
Answer: 0.00 eV per formula unit


Question: Among the records above, which one has the highest E above lowest polymorph?
Answer: number 5


What did the first record say?
The following is a GGA+U calculation of a relaxed structure of CrCF3, from Alexandria.

Results
Fermi-level density of states = 4.75 states/eV/cell
E above lowest polymorph = 1.83 eV per formula unit

Lattice parameters (Å, degrees): 3.872 3.872 3.872 90.00 90.00 90.00
Space group Pm-3m (No. 221)
Asymmetric unit:
Cr 0.000 0.000 0.000 (multiplicity 1)
C 0.500 0.500 0.500 (multiplicity 1)
F 0.000 0.500 0.500 (multiplicity 3)